Na2TaPb: optimized geometry, PBE.

a b c (Å): 6.765 6.765 6.765
angles (deg): 100.42 100.42 129.66
Fractional coordinates of all 8 atoms:
Na (0.116, 0.625, 0.991)
Na (0.375, 0.366, 0.491)
Na (0.634, 0.125, 0.009)
Na (0.875, 0.884, 0.509)
Ta (0.250, 0.750, 0.500)
Ta (0.500, 0.500, 0.000)
Pb (0.000, 0.000, 0.000)
Pb (0.750, 0.250, 0.500)

- Calculated formation energy: 96.4 kJ/mol of atoms
- Final energy: -3.550 eV per atom
- Symmetry: No. 122
- Size of the total moment: 0.6108 μB per atom